# AlBiSe2

A geometry-optimized AlBiSe2 structure (PBE-GGA, Alexandria via LeMat-Bulk).

```
data_AlBiSe2
_symmetry_space_group_name_H-M 'I -4 2 d'
_symmetry_Int_Tables_number 122
_symmetry_space_group_name_Hall 'I -4 2bw'
_cell_length_a 6.945
_cell_length_b 6.945
_cell_length_c 9.528
_cell_angle_alpha 90.00
_cell_angle_beta 90.00
_cell_angle_gamma 90.00
loop_
_atom_site_label
_atom_site_type_symbol
_atom_site_fract_x
_atom_site_fract_y
_atom_site_fract_z
Al1 Al 0.000 0.000 0.000
Bi1 Bi 0.000 0.000 0.500
Se1 Se 0.184 0.250 0.125
```

**ΔE_f (raw)**: -0.263 eV/atom
**Offset from the most stable computed form**: 322 meV/atom
**Magnetization**: 0.000 μB/cell

=====

# La3CoSn

A geometry-optimized La3CoSn structure (PBE-GGA, Alexandria via LeMat-Bulk).

```
data_La3CoSn
_symmetry_space_group_name_H-M 'P 63/m m c'
_symmetry_Int_Tables_number 194
_symmetry_space_group_name_Hall '-P 6c 2c'
_cell_length_a 5.1642
_cell_length_b 5.1642
_cell_length_c 15.4338
_cell_angle_alpha 90.00
_cell_angle_beta 90.00
_cell_angle_gamma 120.00
loop_
_atom_site_label
_atom_site_type_symbol
_atom_site_fract_x
_atom_site_fract_y
_atom_site_fract_z
La1 La 0.0000 0.0000 0.2500
La2 La 0.3333 0.6667 0.0910
Co1 Co 0.3333 0.6667 0.2500
Sn1 Sn 0.0000 0.0000 0.0000
```

**Offset from the most stable computed form**: 277 meV/atom
**Magnetization**: 0.000 μB/cell

=====

# Ho2ThTe3

A geometry-optimized Ho2ThTe3 structure (PBE-GGA, Alexandria via LeMat-Bulk).

```
data_Ho2ThTe3
_symmetry_space_group_name_H-M 'I m m m'
_symmetry_Int_Tables_number 71
_symmetry_space_group_name_Hall '-I 2 2'
_cell_length_a 4.214
_cell_length_b 6.210
_cell_length_c 13.652
_cell_angle_alpha 90.00
_cell_angle_beta 90.00
_cell_angle_gamma 90.00
loop_
_atom_site_label
_atom_site_type_symbol
_atom_site_fract_x
_atom_site_fract_y
_atom_site_fract_z
Ho1 Ho 0.000 0.000 0.158
Th1 Th 0.000 0.000 0.500
Te1 Te 0.000 0.500 0.177
Te2 Te 0.000 0.500 0.500
```

**ΔE_f (raw)**: -1.151 eV/atom
**Magnetization**: 0.000 μB/cell

=====

# La8Pm3Th2

A geometry-optimized La8Pm3Th2 structure (PBE-GGA, Alexandria via LeMat-Bulk).

```
data_La8Pm3Th2
_symmetry_space_group_name_H-M 'C 1 2/m 1'
_symmetry_Int_Tables_number 12
_cell_length_a 21.140
_cell_length_b 7.514
_cell_length_c 5.935
_cell_angle_alpha 90.00
_cell_angle_beta 90.15
_cell_angle_gamma 90.00
loop_
_symmetry_equiv_pos_as_xyz
'x,y,z'
'-x,-y,-z'
'-x,y,-z'
'x,-y,z'
'x+1/2,y+1/2,z'
'-x+1/2,-y+1/2,-z'
'-x+1/2,y+1/2,-z'
'x+1/2,-y+1/2,z'
loop_
_atom_site_label
_atom_site_type_symbol
_atom_site_fract_x
_atom_site_fract_y
_atom_site_fract_z
La1 La 0.107 0.207 0.000
La2 La 0.139 0.500 0.498
La3 La 0.175 0.000 0.502
Pm1 Pm 0.000 0.226 0.500
Pm2 Pm 0.000 0.500 0.000
Th1 Th 0.245 0.500 0.997
```

**Uncorrected energy**: -5.05 eV per atom
**Magnetization**: 0.000 μB/cell

=====

# Pm8Ir3Pb2

A geometry-optimized Pm8Ir3Pb2 structure (PBE-GGA, Alexandria via LeMat-Bulk).

```
data_Pm8Ir3Pb2
_symmetry_space_group_name_H-M 'C m m m'
_symmetry_Int_Tables_number 65
_symmetry_space_group_name_Hall '-C 2 2'
_cell_length_a 10.076
_cell_length_b 15.454
_cell_length_c 5.012
_cell_angle_alpha 90.00
_cell_angle_beta 90.00
_cell_angle_gamma 90.00
loop_
_atom_site_label
_atom_site_type_symbol
_atom_site_fract_x
_atom_site_fract_y
_atom_site_fract_z
Pm1 Pm 0.000 0.108 0.000
Pm2 Pm 0.000 0.388 0.000
Pm3 Pm 0.244 0.390 0.500
Ir1 Ir 0.000 0.500 0.500
Ir2 Ir 0.248 0.000 0.000
Pb1 Pb 0.000 0.243 0.500
```

**Uncorrected energy**: -6.03 eV per atom
**Magnetization**: 0.000 μB/cell

=====

# Rb2NdCu2Se4

A geometry-optimized Rb2NdCu2Se4 structure (PBE-GGA, Alexandria via LeMat-Bulk).

```
data_Rb2NdCu2Se4
_symmetry_space_group_name_H-M 'C 1 2/m 1'
_symmetry_Int_Tables_number 12
_cell_length_a 15.467
_cell_length_b 4.145
_cell_length_c 8.265
_cell_angle_alpha 90.00
_cell_angle_beta 108.93
_cell_angle_gamma 90.00
loop_
_symmetry_equiv_pos_as_xyz
'x,y,z'
'-x,-y,-z'
'-x,y,-z'
'x,-y,z'
'x+1/2,y+1/2,z'
'-x+1/2,-y+1/2,-z'
'-x+1/2,y+1/2,-z'
'x+1/2,-y+1/2,z'
loop_
_atom_site_label
_atom_site_type_symbol
_atom_site_fract_x
_atom_site_fract_y
_atom_site_fract_z
Rb1 Rb 0.132 0.000 0.056
Nd1 Nd 0.000 0.000 0.500
Cu1 Cu 0.180 0.500 0.487
Se1 Se 0.025 0.500 0.266
Se2 Se 0.204 0.000 0.666
```

**ΔE_f (raw)**: -1.044 eV/atom
**Magnetization**: 0.000 μB/cell

=====

# Ba3P4Pd

A geometry-optimized Ba3P4Pd structure (PBE-GGA, Alexandria via LeMat-Bulk).

```
data_Ba3P4Pd
_symmetry_space_group_name_H-M 'I m m m'
_symmetry_Int_Tables_number 71
_symmetry_space_group_name_Hall '-I 2 2'
_cell_length_a 5.051
_cell_length_b 5.535
_cell_length_c 16.030
_cell_angle_alpha 90.00
_cell_angle_beta 90.00
_cell_angle_gamma 90.00
loop_
_atom_site_label
_atom_site_type_symbol
_atom_site_fract_x
_atom_site_fract_y
_atom_site_fract_z
Ba1 Ba 0.000 0.000 0.000
Ba2 Ba 0.000 0.500 0.190
P1 P 0.000 0.297 0.386
Pd1 Pd 0.000 0.000 0.500
```

**Offset from the most stable computed form**: 0 meV/atom
**Magnetization**: 0.000 μB/cell

=====

# Na2HgAsBr6

A geometry-optimized Na2HgAsBr6 structure (PBE-GGA, Alexandria via LeMat-Bulk).

```
data_Na2HgAsBr6
_symmetry_space_group_name_H-M 'P 1'
_symmetry_Int_Tables_number 1
_cell_length_a 7.368
_cell_length_b 7.380
_cell_length_c 7.921
_cell_angle_alpha 62.46
_cell_angle_beta 62.55
_cell_angle_gamma 60.13
loop_
_symmetry_equiv_pos_as_xyz
'x,y,z'
loop_
_atom_site_label
_atom_site_type_symbol
_atom_site_fract_x
_atom_site_fract_y
_atom_site_fract_z
Na1 Na 0.000 0.000 0.000
Na2 Na 0.488 0.490 0.531
Hg1 Hg 0.190 0.190 0.429
As1 As 0.684 0.684 0.948
Br1 Br 0.042 0.792 0.722
Br2 Br 0.320 0.587 0.193
Br3 Br 0.442 0.041 0.720
Br4 Br 0.587 0.900 0.192
Br5 Br 0.792 0.441 0.723
Br6 Br 0.901 0.322 0.193
```

**ΔE_f (raw)**: -0.789 eV/atom
**Offset from the most stable computed form**: 0 meV/atom
**Magnetization**: 0.000 μB/cell